Record 1
VASP calculation (PBE) on a relaxed structure of Mg4Cu.

Spin magnetization, Bohr magnetons per cell: 0.00
ΔH_f (0 K), meV per atom: 152
Electronic total energy, eV/atom: -1.943

Cell: 4.9225 4.9225 4.9225 Å, 90.00 90.00 90.00°
With the nearest neighbours (Å) after each atom.
Space group Pm-3m (No. 221)
One atom of each set of equivalent atoms:
1 Mg 0.0000 0.0000 0.0000 [1 per cell]  12 Mg 3.48
2 Mg 0.0000 0.5000 0.5000 [3 per cell]  2 Cu 2.46
3 Cu 0.5000 0.5000 0.5000 [1 per cell]  6 Mg 2.46

***

Record 2
VASP calculation (PBE) on a relaxed structure of AlIr2IBr.

Spin magnetization, Bohr magnetons per cell: 1.21
Electronic total energy, eV/atom: -3.605
ΔE_f (raw), eV per atom: 1.3323

Cell: 4.6969 4.6969 5.4235 Å, 90.00 90.00 90.00°
With the nearest neighbours (Å) after each atom.
Space group P4/mmm (No. 123)
One atom of each set of equivalent atoms:
1 Al 0.0000 0.0000 0.0000 [1 per cell]  4 Ir 2.35
2 Ir 0.0000 0.5000 0.0000 [2 per cell]  2 Al 2.35
3 I 0.0000 0.0000 0.5000 [1 per cell]  2 Al 2.71
4 Br 0.5000 0.5000 0.5000 [1 per cell]  4 I 3.32, 8 Ir 3.59